# 1
# Mn2FeOs2 | Alexandria | GGA-PBE | optimized geometry
# Uncorrected energy, eV/atom: -9.776
# Energy of formation from the pure elements, eV per atom: 0.08
# Crystal system: triclinic
# E above lowest polymorph, meV per atom: 0.0
# Spin magnetization, Bohr magnetons per cell: 2.2
data_Mn2FeOs2
_chemical_formula_sum 'Mn4 Fe2 Os4'
_symmetry_space_group_name_H-M 'P -1'
_symmetry_Int_Tables_number 2
_symmetry_space_group_name_Hall '-P 1'
_cell_length_a 4.532
_cell_length_b 5.203
_cell_length_c 5.848
_cell_angle_alpha 78.46
_cell_angle_beta 75.14
_cell_angle_gamma 73.37
loop_
_atom_site_label
_atom_site_type_symbol
_atom_site_fract_x
_atom_site_fract_y
_atom_site_fract_z
Mn1 Mn 0.005 0.251 0.003
Mn2 Mn 0.401 0.840 0.202
Fe1 Fe 0.201 0.551 0.600
Os1 Os 0.194 0.050 0.612
Os2 Os 0.396 0.349 0.201

***

# 2
# MnFeOs | Alexandria | GGA-PBE | optimized geometry
# Uncorrected energy, eV/atom: -9.524
# Energy of formation from the pure elements, eV per atom: 0.10
# Crystal system: orthorhombic
# E above lowest polymorph, meV per atom: 35.0
# Spin magnetization, Bohr magnetons per cell: 5.1
data_MnFeOs
_chemical_formula_sum 'Mn2 Fe2 Os2'
_symmetry_space_group_name_H-M 'I m m 2'
_symmetry_Int_Tables_number 44
_symmetry_space_group_name_Hall 'I 2 -2'
_cell_length_a 2.617
_cell_length_b 3.635
_cell_length_c 7.703
_cell_angle_alpha 90.00
_cell_angle_beta 90.00
_cell_angle_gamma 90.00
loop_
_atom_site_label
_atom_site_type_symbol
_atom_site_fract_x
_atom_site_fract_y
_atom_site_fract_z
Mn1 Mn 0.000 0.000 0.000
Fe1 Fe 0.000 0.000 0.334
Os1 Os 0.000 0.000 0.665

***

# 3
# Mn3Fe3Os | Alexandria | GGA-PBE | optimized geometry
# Uncorrected energy, eV/atom: -8.951
# Energy of formation from the pure elements, eV per atom: 0.21
# Crystal system: cubic
# Spin magnetization, Bohr magnetons per cell: 13.6
data_Mn3Fe3Os
_chemical_formula_sum 'Mn12 Fe12 Os4'
_symmetry_space_group_name_H-M 'P 21 3'
_symmetry_Int_Tables_number 198
_symmetry_space_group_name_Hall 'P 2ac 2ab 3'
_cell_length_a 6.921
_cell_length_b 6.921
_cell_length_c 6.921
_cell_angle_alpha 90.00
_cell_angle_beta 90.00
_cell_angle_gamma 90.00
loop_
_atom_site_label
_atom_site_type_symbol
_atom_site_fract_x
_atom_site_fract_y
_atom_site_fract_z
Mn1 Mn 0.125 0.375 0.625
Mn2 Mn 0.144 0.856 0.356
Mn3 Mn 0.211 0.211 0.211
Fe1 Fe 0.030 0.178 0.898
Os1 Os 0.061 0.561 0.939

***

# 4
# MnFe2Os | Alexandria | GGA-PBE | optimized geometry
# Uncorrected energy, eV/atom: -9.231
# Energy of formation from the pure elements, eV per atom: 0.10
# Crystal system: monoclinic
# Spin magnetization, Bohr magnetons per cell: 2.4
data_MnFe2Os
_chemical_formula_sum 'Mn2 Fe4 Os2'
_symmetry_space_group_name_H-M 'C 1 m 1'
_symmetry_Int_Tables_number 8
_symmetry_space_group_name_Hall 'C -2y'
_cell_length_a 8.467
_cell_length_b 2.568
_cell_length_c 4.500
_cell_angle_alpha 90.00
_cell_angle_beta 99.57
_cell_angle_gamma 90.00
loop_
_atom_site_label
_atom_site_type_symbol
_atom_site_fract_x
_atom_site_fract_y
_atom_site_fract_z
Mn1 Mn 0.000 0.000 0.000
Fe1 Fe 0.245 0.500 0.230
Fe2 Fe 0.496 0.000 0.478
Os1 Os 0.246 0.000 0.727

***

# 5
# MnFeOs | Alexandria | GGA-PBE | optimized geometry
# Uncorrected energy, eV/atom: -9.559
# Energy of formation from the pure elements, eV per atom: 0.06
# Crystal system: orthorhombic
# E above lowest polymorph, meV per atom: 0.0
# Spin magnetization, Bohr magnetons per cell: 3.2
data_MnFeOs
_chemical_formula_sum 'Mn4 Fe4 Os4'
_symmetry_space_group_name_H-M 'C m c m'
_symmetry_Int_Tables_number 63
_symmetry_space_group_name_Hall '-C 2c 2'
_cell_length_a 3.624
_cell_length_b 11.174
_cell_length_c 3.702
_cell_angle_alpha 90.00
_cell_angle_beta 90.00
_cell_angle_gamma 90.00
loop_
_atom_site_label
_atom_site_type_symbol
_atom_site_fract_x
_atom_site_fract_y
_atom_site_fract_z
Mn1 Mn 0.000 0.089 0.250
Fe1 Fe 0.000 0.249 0.750
Os1 Os 0.000 0.409 0.250

***

# 6
# MnFe2Os | Alexandria | GGA-PBE | optimized geometry
# Uncorrected energy, eV/atom: -9.218
# Energy of formation from the pure elements, eV per atom: 0.11
# Crystal system: cubic
# Spin magnetization, Bohr magnetons per cell: 26.9
data_MnFe2Os
_chemical_formula_sum 'Mn4 Fe8 Os4'
_symmetry_space_group_name_H-M 'F -4 3 m'
_symmetry_Int_Tables_number 216
_symmetry_space_group_name_Hall 'F -4 2 3'
_cell_length_a 5.829
_cell_length_b 5.829
_cell_length_c 5.829
_cell_angle_alpha 90.00
_cell_angle_beta 90.00
_cell_angle_gamma 90.00
loop_
_atom_site_label
_atom_site_type_symbol
_atom_site_fract_x
_atom_site_fract_y
_atom_site_fract_z
Mn1 Mn 0.000 0.000 0.000
Fe1 Fe 0.000 0.000 0.500
Fe2 Fe 0.250 0.250 0.250
Os1 Os 0.250 0.250 0.750

***

Please write out number 2 again, unchanged.
# MnFeOs | Alexandria | GGA-PBE | optimized geometry
# Uncorrected energy, eV/atom: -9.524
# Energy of formation from the pure elements, eV per atom: 0.10
# Crystal system: orthorhombic
# E above lowest polymorph, meV per atom: 35.0
# Spin magnetization, Bohr magnetons per cell: 5.1
data_MnFeOs
_chemical_formula_sum 'Mn2 Fe2 Os2'
_symmetry_space_group_name_H-M 'I m m 2'
_symmetry_Int_Tables_number 44
_symmetry_space_group_name_Hall 'I 2 -2'
_cell_length_a 2.617
_cell_length_b 3.635
_cell_length_c 7.703
_cell_angle_alpha 90.00
_cell_angle_beta 90.00
_cell_angle_gamma 90.00
loop_
_atom_site_label
_atom_site_type_symbol
_atom_site_fract_x
_atom_site_fract_y
_atom_site_fract_z
Mn1 Mn 0.000 0.000 0.000
Fe1 Fe 0.000 0.000 0.334
Os1 Os 0.000 0.000 0.665